Entry i
Here is an optimized crystal structure of CuTcBr2 from Alexandria. Energies are from GGA-PBE.

Geometry as CIF:
```
data_CuTcBr2
_chemical_formula_sum 'Cu1 Tc1 Br2'
_cell_length_a 3.4473
_cell_length_b 3.4473
_cell_length_c 6.6899
_cell_angle_alpha 90.00
_cell_angle_beta 90.00
_cell_angle_gamma 90.00
_space_group_name_H-M_alt 'P 4/m m m'
_space_group_IT_number 123
_space_group_name_Hall '-P 4 2'
loop_
_atom_site_label
_atom_site_type_symbol
_atom_site_fract_x
_atom_site_fract_y
_atom_site_fract_z
_atom_site_occupancy
Cu1 Cu 0.0000 0.0000 0.0000 1
Tc1 Tc 0.0000 0.0000 0.5000 1
Br1 Br 0.5000 0.5000 0.2480 1
```

***

Entry ii
Here is an optimized crystal structure of CuTcBr2 from Alexandria. Energies are from GGA-PBE.

Geometry as CIF:
```
data_CuTcBr2
_chemical_formula_sum 'Cu4 Tc4 Br8'
_cell_length_a 6.5093
_cell_length_b 6.5093
_cell_length_c 6.5093
_cell_angle_alpha 90.00
_cell_angle_beta 90.00
_cell_angle_gamma 90.00
_space_group_name_H-M_alt 'F m -3 m'
_space_group_IT_number 225
_space_group_name_Hall '-F 4 2 3'
loop_
_atom_site_label
_atom_site_type_symbol
_atom_site_fract_x
_atom_site_fract_y
_atom_site_fract_z
_atom_site_occupancy
Cu1 Cu 0.0000 0.0000 0.0000 1
Tc1 Tc 0.0000 0.0000 0.5000 1
Br1 Br 0.2500 0.2500 0.2500 1
```

***

The structure with the most favorable energy is entry i; the runner-up is 4.6 kJ/mol of atoms above it.